Density functional theory data (PBE-GGA) for crystalline SrRe2As at its relaxed geometry.

Lattice parameters (Å, degrees): 5.740 5.740 5.514 67.92 67.92 32.83
Fractional coordinates of all 4 atoms:
Re 0.040 0.040 0.860
Re 0.460 0.460 0.640
As 0.750 0.750 0.750
Sr 0.250 0.250 0.250

## Properties
space-group type	No. 12
DFT formation energy	525	meV per atom
VASP energy	-7.2816	eV per atom
total moment	0.00	Bohr magnetons per cell